# Nd2CN

Nd2CN after structural relaxation (PBE, the Alexandria database).

```
Nd2CN
1.0
1.8464 1.0660 6.1487
-1.8464 1.0660 6.1487
0.0000 -2.1321 6.1487
Nd C N
2 1 1
Cartesian
0.0000 0.0000 4.5555
0.0000 0.0000 13.8907
0.0000 0.0000 0.0000
0.0000 0.0000 9.2231
```

Properties
uncorrected formation energy = -0.48 eV/atom
DOS at the Fermi energy = 3.6 states/eV per cell

# NdCN

NdCN after structural relaxation (PBE, the Alexandria database).

```
NdCN
1.0
6.9549 0.0000 0.0000
0.0000 3.6911 0.0000
0.0000 0.0000 6.1223
Nd C N
4 4 4
Cartesian
1.3241 0.9228 0.9788
2.1534 2.7683 4.0400
4.8015 0.9228 2.0823
5.6308 2.7683 5.1435
0.1670 0.9228 3.4249
3.3104 2.7683 0.3637
3.6444 0.9228 5.7586
6.7879 2.7683 2.6975
0.4522 0.9228 4.7628
3.0252 2.7683 1.7016
3.9296 0.9228 4.4207
6.5027 2.7683 1.3595
```

Properties
uncorrected formation energy = -0.43 eV/atom
DOS at the Fermi energy = 3.3 states/eV per cell

# Nd8C2N3

Nd8C2N3 after structural relaxation (PBE, the Alexandria database).

```
Nd8C2N3
1.0
6.4163 -3.7087 0.0000
6.4163 3.7087 0.0000
-2.0798 0.0000 6.1800
Nd C N
8 2 3
Cartesian
4.3120 1.9438 1.4683
0.9755 0.0000 1.4551
6.4408 1.9438 4.7117
3.2506 0.0000 4.8596
7.5022 0.0000 1.3204
4.3120 -1.9438 1.4683
9.7773 0.0000 4.7249
6.4408 -1.9438 4.7117
1.1463 0.0000 6.1216
9.6065 0.0000 0.0584
-1.0399 0.0000 3.0900
6.4163 1.8728 0.0000
6.4163 -1.8728 0.0000
```

Properties
uncorrected formation energy = -0.63 eV/atom
DOS at the Fermi energy = 10.4 states/eV per cell

# NdCN

NdCN after structural relaxation (PBE, the Alexandria database).

```
NdCN
1.0
-1.5684 1.5684 4.1239
1.5684 -1.5684 4.1239
1.5684 1.5684 -4.1239
Nd C N
1 1 1
Cartesian
0.0000 0.0000 0.0000
0.0000 0.0000 2.3848
0.0000 0.0000 5.7923
```

Properties
uncorrected formation energy = 1.43 eV/atom
DOS at the Fermi energy = 2.0 states/eV per cell

# NdC3N6

NdC3N6 after structural relaxation (PBE, the Alexandria database).

```
NdC3N6
1.0
5.7579 3.3243 1.3058
-5.7579 3.3243 1.3058
0.0000 -6.6487 1.3058
Nd C N
1 3 6
Cartesian
0.0000 0.0000 0.0000
0.0000 -2.9667 1.7310
-2.5692 1.4833 1.7310
2.5692 1.4833 1.7310
0.0000 -4.1563 1.4770
-3.5995 2.0782 1.4770
0.0000 -1.7440 1.9474
-1.5103 0.8720 1.9474
1.5103 0.8720 1.9474
3.5995 2.0782 1.4770
```

Properties
uncorrected formation energy = 0.12 eV/atom
DOS at the Fermi energy = 3.3 states/eV per cell

# Nd6CN2O2

Nd6CN2O2 after structural relaxation (PBE, the Alexandria database).

```
Nd6CN2O2
1.0
3.1658 -5.4957 0.0000
3.1658 5.4957 0.0000
-2.0792 0.0000 5.9982
Nd C N O
6 1 2 2
Cartesian
1.0154 1.9154 1.4448
-0.0346 0.0000 4.5797
1.0154 -1.9154 1.4448
3.2371 1.9154 4.5534
4.2871 0.0000 1.4185
3.2371 -1.9154 4.5534
0.0000 0.0000 0.0000
3.1658 1.8666 0.0000
3.1658 -1.8666 0.0000
2.1262 3.7047 2.9991
2.1262 -3.7047 2.9991
```

Properties
uncorrected formation energy = -1.57 eV/atom
DOS at the Fermi energy = 5.6 states/eV per cell

# Nd6C2NO3

Nd6C2NO3 after structural relaxation (PBE, the Alexandria database).

```
Nd6C2NO3
1.0
7.9783 -1.8368 0.0000
7.9783 1.8368 0.0000
-1.6502 0.0000 7.1285
Nd C N O
6 2 1 3
Cartesian
-0.3757 0.0000 1.7514
4.6175 0.0000 2.9856
3.8307 0.0000 6.5158
10.4755 0.0000 0.6126
9.6888 0.0000 4.1429
14.6820 0.0000 5.3771
2.0754 0.0000 2.3482
12.2309 0.0000 4.7803
7.9783 0.0000 0.0000
1.2900 0.0000 5.9479
7.1531 0.0000 3.5642
13.0162 0.0000 1.1805
```

Properties
uncorrected formation energy = -1.71 eV/atom
DOS at the Fermi energy = 2.1 states/eV per cell

# Nd4CN2O

Nd4CN2O after structural relaxation (PBE, the Alexandria database).

```
Nd4CN2O
1.0
-2.5873 2.5873 5.1924
2.5873 -2.5873 5.1924
2.5873 2.5873 -5.1924
Nd C N O
4 1 2 1
Cartesian
0.0000 0.0000 2.5591
0.0000 2.5873 0.0427
0.0000 0.0000 7.8256
0.0000 2.5873 5.1497
0.0000 0.0000 5.1924
0.0000 0.0000 0.0000
0.0000 2.5873 2.5962
2.5873 0.0000 2.5962
```

Properties
uncorrected formation energy = -1.42 eV/atom
DOS at the Fermi energy = 0.4 states/eV per cell

# Nd4CNO2

Nd4CNO2 after structural relaxation (PBE, the Alexandria database).

```
Nd4CNO2
1.0
-2.5807 2.5807 5.1338
2.5807 -2.5807 5.1338
2.5807 2.5807 -5.1338
Nd C N O
4 1 1 2
Cartesian
2.5807 0.0000 0.0000
0.0000 0.0000 2.5386
0.0000 2.5807 0.0000
0.0000 0.0000 7.7290
0.0000 0.0000 5.1338
0.0000 0.0000 0.0000
2.5807 0.0000 2.5669
0.0000 2.5807 2.5669
```

Properties
uncorrected formation energy = -1.80 eV/atom
DOS at the Fermi energy = 2.6 states/eV per cell

# NdPaCN

NdPaCN after structural relaxation (PBE, the Alexandria database).

```
NdPaCN
1.0
1.8199 1.0507 5.9120
-1.8199 1.0507 5.9120
0.0000 -2.1015 5.9120
Nd Pa C N
1 1 1 1
Cartesian
0.0000 0.0000 0.0000
0.0000 0.0000 8.8782
0.0000 0.0000 13.5212
0.0000 0.0000 4.1853
```

Properties
uncorrected formation energy = -0.95 eV/atom
DOS at the Fermi energy = 1.8 states/eV per cell

# Nd3PdC2N6

Nd3PdC2N6 after structural relaxation (PBE, the Alexandria database).

```
Nd3PdC2N6
1.0
5.3932 0.0000 0.0000
-2.6966 4.6706 0.0000
0.0000 0.0000 6.4739
Nd Pd C N
3 1 2 6
Cartesian
0.0000 0.0000 0.0000
0.0000 3.1137 4.3041
2.6966 1.5569 2.1699
0.0000 0.0000 3.2370
0.0000 3.1137 1.6606
2.6966 1.5569 4.8133
0.0000 1.7467 1.6825
-1.1839 3.7972 1.6825
1.5127 0.8734 4.7914
1.1839 3.7972 1.6825
3.8805 0.8734 4.7914
2.6966 2.9239 4.7914
```

Properties
uncorrected formation energy = -0.49 eV/atom
DOS at the Fermi energy = 1.5 states/eV per cell

# Pm2Nd2CN2

Pm2Nd2CN2 after structural relaxation (PBE, the Alexandria database).

```
Pm2Nd2CN2
1.0
6.9295 -1.8124 0.0000
6.9295 1.8124 0.0000
-2.8219 0.0000 5.6127
Pm Nd C N
2 2 1 2
Cartesian
1.0080 0.0000 1.7538
10.0290 0.0000 3.8588
4.5462 0.0000 1.2096
6.4909 0.0000 4.4030
-1.4110 0.0000 2.8063
1.5244 0.0000 4.1896
9.5127 0.0000 1.4230
```

Properties
uncorrected formation energy = -0.75 eV/atom
DOS at the Fermi energy = 2.6 states/eV per cell

# Nd2RhC2N6

Nd2RhC2N6 after structural relaxation (PBE, the Alexandria database).

```
Nd2RhC2N6
1.0
2.5707 1.4842 5.3170
-2.5707 1.4842 5.3170
0.0000 -2.9684 5.3170
Nd Rh C N
2 1 2 6
Cartesian
0.0000 0.0000 3.4833
0.0000 0.0000 12.4677
0.0000 0.0000 0.0000
0.0000 0.0000 6.5619
0.0000 0.0000 9.3891
0.0000 -1.3646 6.6637
-1.1817 0.6823 6.6637
-1.1817 -0.6823 9.2873
1.1817 0.6823 6.6637
1.1817 -0.6823 9.2873
0.0000 1.3646 9.2873
```

Properties
uncorrected formation energy = -0.33 eV/atom
DOS at the Fermi energy = 4.1 states/eV per cell

# Nd2RuC2N6

Nd2RuC2N6 after structural relaxation (PBE, the Alexandria database).

```
Nd2RuC2N6
1.0
2.5768 1.4877 5.2418
-2.5768 1.4877 5.2418
0.0000 -2.9755 5.2418
Nd Ru C N
2 1 2 6
Cartesian
0.0000 0.0000 3.4564
0.0000 0.0000 12.2691
0.0000 0.0000 0.0000
0.0000 0.0000 6.4620
0.0000 0.0000 9.2635
0.0000 -1.3627 6.5407
-1.1802 0.6814 6.5407
-1.1802 -0.6814 9.1848
1.1802 0.6814 6.5407
1.1802 -0.6814 9.1848
0.0000 1.3627 9.1848
```

Properties
uncorrected formation energy = -0.38 eV/atom
DOS at the Fermi energy = 3.5 states/eV per cell

# Nd6C2Se3N

Nd6C2Se3N after structural relaxation (PBE, the Alexandria database).

```
Nd6C2Se3N
1.0
8.8528 -1.9517 0.0000
8.8528 1.9517 0.0000
-2.4062 0.0000 7.8142
Nd C Se N
6 2 3 1
Cartesian
-0.3571 0.0000 1.7572
4.6837 0.0000 3.4451
3.9242 0.0000 6.9811
11.3751 0.0000 0.8331
10.6156 0.0000 4.3690
15.6564 0.0000 6.0570
2.1057 0.0000 2.5642
13.1936 0.0000 5.2500
0.9441 0.0000 6.5102
7.6496 0.0000 3.9071
14.3552 0.0000 1.3040
8.8528 0.0000 0.0000
```

Properties
uncorrected formation energy = -1.22 eV/atom
DOS at the Fermi energy = 2.5 states/eV per cell

# Nd8C3Se3N

Nd8C3Se3N after structural relaxation (PBE, the Alexandria database).

```
Nd8C3Se3N
1.0
3.8613 2.2293 6.8892
-3.8613 2.2293 6.8892
0.0000 -4.4587 6.8892
Nd C Se N
8 3 3 1
Cartesian
0.0000 0.0000 4.8789
-1.9211 -1.1091 11.7266
0.0000 -2.2183 8.9409
-1.9211 1.1091 8.9409
1.9211 -1.1091 11.7266
0.0000 2.2183 11.7266
1.9211 1.1091 8.9410
0.0000 0.0000 15.7886
-3.8613 0.0000 10.3338
-1.9307 1.1147 3.4446
1.9307 1.1147 3.4446
-1.9307 -1.1147 6.8892
-1.9307 1.1147 13.7783
0.0000 2.2293 6.8892
0.0000 0.0000 10.3338
```

Properties
uncorrected formation energy = -0.97 eV/atom
DOS at the Fermi energy = 5.6 states/eV per cell

# Nd4CSe2N

Nd4CSe2N after structural relaxation (PBE, the Alexandria database).

```
Nd4CSe2N
1.0
6.7204 0.0000 0.0000
0.0000 3.8876 0.0000
-2.2462 0.0000 6.8118
Nd C Se N
4 1 2 1
Cartesian
1.1193 0.0000 1.3889
-0.0052 1.9438 5.3965
4.4794 1.9438 1.4153
3.3549 0.0000 5.4229
3.3602 0.0000 0.0000
-1.1231 0.0000 3.4059
2.2371 1.9438 3.4059
0.0000 1.9438 0.0000
```

Properties
uncorrected formation energy = -1.32 eV/atom
DOS at the Fermi energy = 1.9 states/eV per cell

# Nd2CSe2N2

Nd2CSe2N2 after structural relaxation (PBE, the Alexandria database).

```
Nd2CSe2N2
1.0
4.8171 -2.1439 0.0000
4.8171 2.1439 0.0000
-0.9775 0.0000 7.0594
Nd C Se N
2 1 2 2
Cartesian
1.4985 0.0000 1.8220
7.1583 0.0000 5.2374
4.3284 0.0000 3.5297
0.4053 0.0000 5.9185
8.2514 0.0000 1.1409
3.1423 0.0000 3.8884
5.5145 0.0000 3.1710
```

Properties
uncorrected formation energy = -1.29 eV/atom
DOS at the Fermi energy = 0.0 states/eV per cell

# Nd6CSe3N2

Nd6CSe3N2 after structural relaxation (PBE, the Alexandria database).

```
Nd6CSe3N2
1.0
3.3463 -5.7967 0.0000
3.3463 5.7967 0.0000
-2.2275 0.0000 6.8110
Nd C Se N
6 1 3 2
Cartesian
-0.0004 1.9389 5.4152
1.1066 0.0000 1.3893
-0.0004 -1.9389 5.4152
4.4656 1.9389 1.3958
3.3586 0.0000 5.4216
4.4656 -1.9389 1.3958
3.3463 0.0000 0.0000
-1.1138 0.0000 3.4055
2.2326 1.9192 3.4055
2.2326 -1.9192 3.4055
3.3463 3.8645 0.0000
3.3463 -3.8645 0.0000
```

Properties
uncorrected formation energy = -1.42 eV/atom
DOS at the Fermi energy = 2.6 states/eV per cell

# Nd2Sm2CN2

Nd2Sm2CN2 after structural relaxation (PBE, the Alexandria database).

```
Nd2Sm2CN2
1.0
6.8899 -1.8076 0.0000
6.8899 1.8076 0.0000
-2.7806 0.0000 5.6137
Nd Sm C N
2 2 1 2
Cartesian
0.9633 0.0000 1.6013
10.0359 0.0000 4.0123
4.4867 0.0000 1.0416
6.5125 0.0000 4.5721
6.8899 0.0000 0.0000
1.1770 0.0000 4.2398
9.8222 0.0000 1.3739
```

Properties
uncorrected formation energy = -0.77 eV/atom
DOS at the Fermi energy = 2.5 states/eV per cell